## w
Material: CsRb2TcF6
Method: DFT, PBE
State: relaxed

Unit cell a=6.157 b=7.783 c=9.546 alpha=90.00 beta=90.00 gamma=90.00
Each line ends with the local moment (μB).
Positions (direct):
Cs 0.000 0.674 0.500  0.00
Cs 0.500 0.326 0.000  0.00
Rb 0.500 0.833 0.208  0.00
Rb 0.000 0.167 0.708  0.00
Rb 0.500 0.833 0.792  0.00
Rb 0.000 0.167 0.292  0.00
Tc 0.500 0.183 0.500  1.69
Tc 0.000 0.817 0.000  1.69
F 0.500 0.182 0.282  0.01
F 0.500 0.182 0.718  0.01
F 0.000 0.818 0.218  0.01
F 0.000 0.818 0.782  0.01
F 0.273 0.990 0.500  0.03
F 0.727 0.990 0.500  0.03
F 0.263 0.365 0.500  0.04
F 0.737 0.365 0.500  0.04
F 0.763 0.635 0.000  0.04
F 0.237 0.635 0.000  0.04
F 0.227 0.010 0.000  0.03
F 0.773 0.010 0.000  0.03

- Space group: Pmmn (59)
- Total moment: 4.0 μB/cell

---

## x
Material: CsRb2TcF6
Method: DFT, PBE
State: relaxed

Unit cell a=6.840 b=6.840 c=6.805 alpha=59.83 beta=59.83 gamma=90.00
Each line ends with the local moment (μB).
Positions (direct):
Cs 0.000 0.000 0.000  0.00
Tc 0.500 0.500 0.000  1.69
Rb 0.750 0.250 0.500  0.00
Rb 0.250 0.750 0.500  0.00
F 0.290 0.290 0.421  0.04
F 0.710 0.710 0.579  0.04
F 0.287 0.287 0.000  0.02
F 0.713 0.713 0.000  0.02
F 0.713 0.287 0.000  0.02
F 0.287 0.713 0.000  0.02

- Space group: I4/mmm (139)
- Total moment: 2.0 μB/cell

---

Short version: w is the most stable of them.

---

## w
Material: CsRuF2
Method: DFT, PBE
State: relaxed

Unit cell a=7.922 b=7.922 c=7.922 alpha=28.66 beta=28.66 gamma=28.66
Each line ends with the local moment (μB).
Positions (direct):
Cs 0.500 0.500 0.500  0.00
Ru 0.000 0.000 0.000  2.69
F 0.912 0.912 0.912  0.08
F 0.088 0.088 0.088  0.08

- Space group: R-3m (166)
- Total moment: 3.0 μB/cell

---

## x
Material: CsRuF2
Method: DFT, PBE
State: relaxed

Unit cell a=4.768 b=4.768 c=4.768 alpha=60.00 beta=60.00 gamma=60.00
Each line ends with the local moment (μB).
Positions (direct):
Cs 0.500 0.500 0.500  0.00
Ru 0.000 0.000 0.000  2.64
F 0.250 0.250 0.250  0.06
F 0.750 0.750 0.750  0.06

- Space group: Fm-3m (225)
- Total moment: 3.0 μB/cell

---

Short version: w is the most stable of them.

---

## w
Material: CsRuF6
Method: DFT, PBE
State: relaxed

Unit cell a=5.653 b=5.653 c=6.648 alpha=97.16 beta=116.95 gamma=108.69
Each line ends with the local moment (μB).
Positions (direct):
Cs 0.000 0.500 0.500  0.00
Ru 0.000 0.000 0.000  2.09
F 0.670 0.687 0.762  0.12
F 0.075 0.092 0.762  0.12
F 0.925 0.908 0.238  0.12
F 0.330 0.313 0.238  0.12
F 0.760 0.183 0.944  0.13
F 0.240 0.817 0.056  0.13

- Space group: C2/m (12)
- Total moment: 3.0 μB/cell

---

## x
Material: CsRuF6
Method: DFT, PBE
State: relaxed

Unit cell a=5.430 b=5.430 c=5.430 alpha=97.02 beta=97.02 gamma=97.02
Each line ends with the local moment (μB).
Positions (direct):
Cs 0.500 0.500 0.500  0.00
Ru 0.000 0.000 0.000  2.08
F 0.246 0.246 0.918  0.12
F 0.918 0.246 0.246  0.12
F 0.082 0.754 0.754  0.12
F 0.754 0.754 0.082  0.12
F 0.754 0.082 0.754  0.12
F 0.246 0.918 0.246  0.12

- Space group: R-3m (166)
- Total moment: 3.0 μB/cell

---

Short version: x is the most stable of them.

---

## w
Material: Cs2SF6
Method: DFT, PBE
State: relaxed

Unit cell a=6.476 b=6.476 c=6.476 alpha=60.00 beta=60.00 gamma=60.00
Positions (direct):
Cs 0.250 0.250 0.250
Cs 0.750 0.750 0.750
S 0.000 0.000 0.000
F 0.205 0.795 0.795
F 0.205 0.795 0.205
F 0.795 0.205 0.795
F 0.795 0.205 0.205
F 0.795 0.795 0.205
F 0.205 0.205 0.795

- Space group: Fm-3m (225)
- Total moment: 0.0 μB/cell

---

## x
Material: Cs2SF6
Method: DFT, PBE
State: relaxed

Unit cell a=5.228 b=6.250 c=6.250 alpha=60.02 beta=89.96 gamma=89.96
Positions (direct):
Cs 0.707 0.667 0.667
Cs 0.293 0.333 0.333
S 0.000 0.000 0.000
F 0.202 0.288 0.856
F 0.202 0.856 0.856
F 0.202 0.856 0.288
F 0.798 0.712 0.144
F 0.798 0.144 0.144
F 0.798 0.144 0.712

- Space group: P-3m1 (164)
- Total moment: 0.0 μB/cell

---

Short version: w is the most stable of them.

---

## w
Material: CsS2F
Method: DFT, PBE
State: relaxed

Unit cell a=4.185 b=4.185 c=15.120 alpha=82.05 beta=82.05 gamma=90.00
Positions (direct):
Cs 0.000 0.000 0.000
Cs 0.750 0.250 0.500
S 0.375 0.125 0.250
S 0.375 0.625 0.250
S 0.375 0.625 0.750
S 0.875 0.625 0.750
F 0.500 0.500 0.000
F 0.250 0.750 0.500

- Space group: I4_1/amd (141)
- Total moment: 0.0 μB/cell

---

## x
Material: CsS2F
Method: DFT, PBE
State: relaxed

Unit cell a=5.346 b=5.346 c=5.346 alpha=65.59 beta=65.59 gamma=65.59
Positions (direct):
Cs 0.500 0.500 0.500
S 0.834 0.834 0.834
S 0.166 0.166 0.166
F 0.000 0.000 0.000

- Space group: R-3m (166)
- Total moment: 0.0 μB/cell

---

## y
Material: CsS2F
Method: DFT, PBE
State: relaxed

Unit cell a=6.440 b=6.440 c=6.440 alpha=38.92 beta=38.92 gamma=38.92
Positions (direct):
Cs 0.000 0.000 0.000
S 0.822 0.822 0.822
S 0.178 0.178 0.178
F 0.500 0.500 0.500

- Space group: R-3m (166)
- Total moment: 0.0 μB/cell

---

Short version: w is the most stable of them.

---

## w
Material: CsSF3
Method: DFT, PBE
State: relaxed

Unit cell a=4.449 b=4.449 c=4.449 alpha=90.00 beta=90.00 gamma=90.00
Positions (direct):
Cs 0.500 0.500 0.500
S 0.000 0.000 0.000
F 0.000 0.500 0.000
F 0.000 0.000 0.500
F 0.500 0.000 0.000

- Space group: Pm-3m (221)
- Total moment: 0.0 μB/cell

---

## x
Material: CsSF3
Method: DFT, PBE
State: relaxed

Unit cell a=5.177 b=5.177 c=5.177 alpha=90.00 beta=90.00 gamma=90.00
Each line ends with the local moment (μB).
Positions (direct):
Cs 0.000 0.000 0.000  0.29
S 0.500 0.500 0.500  1.53
F 0.000 0.500 0.000  0.34
F 0.000 0.000 0.500  0.61
F 0.500 0.000 0.000  0.17

- Space group: Pm-3m (221)
- Total moment: 4.0 μB/cell

---

Short version: w is the most stable of them.

---

## w
Material: CsS2F2
Method: DFT, PBE
State: relaxed

Unit cell a=8.037 b=8.037 c=4.327 alpha=90.00 beta=90.00 gamma=90.00
Each line ends with the local moment (μB).
Positions (direct):
Cs 0.000 0.000 0.000  0.01
Cs 0.500 0.500 0.000  0.01
S 0.081 0.581 0.500  0.28
S 0.581 0.919 0.500  0.28
S 0.919 0.419 0.500  0.28
S 0.419 0.081 0.500  0.28
F 0.183 0.683 0.000  0.01
F 0.683 0.817 0.000  0.01
F 0.817 0.317 0.000  0.01
F 0.317 0.183 0.000  0.01

- Space group: P4/mbm (127)
- Total moment: 2.0 μB/cell

---

## x
Material: CsS2F2
Method: DFT, PBE
State: relaxed

Unit cell a=5.017 b=5.017 c=5.557 alpha=63.16 beta=63.16 gamma=90.00
Each line ends with the local moment (μB).
Positions (direct):
Cs 0.000 0.000 0.000  0.00
S 0.391 0.391 0.217  0.21
S 0.609 0.609 0.783  0.21
F 0.750 0.250 0.500  0.02
F 0.250 0.750 0.500  0.02

- Space group: I4/mmm (139)
- Total moment: 0.7 μB/cell

---

Short version: w is the most stable of them.

---

## w
Material: Cs3SF
Method: DFT, PBE
State: relaxed

Unit cell a=5.722 b=5.722 c=5.722 alpha=90.00 beta=90.00 gamma=90.00
Positions (direct):
Cs 0.000 0.500 0.000
Cs 0.000 0.000 0.500
Cs 0.500 0.000 0.000
S 0.500 0.500 0.500
F 0.000 0.000 0.000

- Space group: Pm-3m (221)
- Total moment: 0.0 μB/cell

---

## x
Material: Cs3SF
Method: DFT, PBE
State: relaxed

Unit cell a=8.224 b=8.228 c=8.616 alpha=61.44 beta=61.44 gamma=59.99
Positions (direct):
Cs 0.776 0.451 0.737
Cs 0.037 0.776 0.737
Cs 0.451 0.037 0.737
Cs 0.224 0.549 0.263
Cs 0.963 0.224 0.263
Cs 0.549 0.963 0.263
S 0.360 0.360 0.920
S 0.640 0.640 0.080
F 0.848 0.848 0.455
F 0.152 0.152 0.545

- Space group: P-1 (2)
- Total moment: 0.1 μB/cell

---

Short version: x is the most stable of them.